TbY2ScO6: optimized geometry, PBE-GGA.

Calculated values
* DFT total energy: -8.858 eV/atom
* density of states at the Fermi level: 0.00 states/eV per atom
* formation energy (no corrections): -3.494 eV per atom

a b c (Å): 5.986 5.986 5.986
angles (deg): 57.11 57.11 57.11
Atoms (fractional coordinates):
Tb  0.000  0.000  0.000
Y  0.279  0.279  0.279
Y  0.782  0.782  0.782
Sc  0.494  0.494  0.494
O  0.111  0.682  0.388
O  0.205  0.600  0.864
O  0.388  0.111  0.682
O  0.600  0.864  0.205
O  0.682  0.388  0.111
O  0.864  0.205  0.600

=====

Tb2YScO6: optimized geometry, PBE-GGA.

Calculated values
* DFT total energy: -8.681 eV/atom
* density of states at the Fermi level: 0.00 states/eV per atom
* formation energy (no corrections): -3.501 eV per atom

a b c (Å): 5.979 5.979 5.979
angles (deg): 57.26 57.26 57.26
Atoms (fractional coordinates):
Tb  0.000  0.000  0.000
Tb  0.498  0.498  0.498
Y  0.219  0.219  0.219
Sc  0.713  0.713  0.713
O  0.081  0.425  0.823
O  0.334  0.903  0.603
O  0.425  0.823  0.081
O  0.603  0.334  0.903
O  0.823  0.081  0.425
O  0.903  0.603  0.334

=====

Sc2TcO6: optimized geometry, PBE-GGA.

Calculated values
* DFT total energy: -8.350 eV/atom
* density of states at the Fermi level: 0.30 states/eV per atom
* formation energy (no corrections): -2.485 eV per atom

a b c (Å): 4.780 4.780 9.435
angles (deg): 90.00 90.00 90.00
Atoms (fractional coordinates):
Sc  0.000  0.000  0.171
Sc  0.000  0.000  0.829
Sc  0.500  0.500  0.329
Sc  0.500  0.500  0.671
Tc  0.000  0.000  0.500
Tc  0.500  0.500  0.000
O  0.192  0.192  0.345
O  0.192  0.192  0.655
O  0.218  0.218  0.000
O  0.282  0.718  0.500
O  0.308  0.692  0.155
O  0.308  0.692  0.845
O  0.692  0.308  0.155
O  0.692  0.308  0.845
O  0.718  0.282  0.500
O  0.782  0.782  0.000
O  0.808  0.808  0.345
O  0.808  0.808  0.655

=====

ScTcO2: optimized geometry, PBE-GGA.

Calculated values
* DFT total energy: -8.623 eV/atom
* density of states at the Fermi level: 0.65 states/eV per atom
* formation energy (no corrections): -1.969 eV per atom

a b c (Å): 3.015 3.015 18.887
angles (deg): 90.00 90.00 120.00
Atoms (fractional coordinates):
Sc  0.000  0.000  0.000
Sc  0.333  0.667  0.667
Sc  0.667  0.333  0.333
Tc  0.000  0.000  0.500
Tc  0.333  0.667  0.167
Tc  0.667  0.333  0.833
O  0.000  0.000  0.392
O  0.000  0.000  0.608
O  0.333  0.667  0.059
O  0.333  0.667  0.274
O  0.667  0.333  0.726
O  0.667  0.333  0.941

=====

ScTc3O: optimized geometry, PBE-GGA.

Calculated values
* DFT total energy: -5.955 eV/atom
* density of states at the Fermi level: 1.46 states/eV per atom
* formation energy (no corrections): 2.523 eV per atom

a b c (Å): 4.648 4.648 4.648
angles (deg): 90.00 90.00 90.00
Atoms (fractional coordinates):
Sc  0.000  0.000  0.000
Tc  0.000  0.000  0.500
Tc  0.000  0.500  0.000
Tc  0.500  0.000  0.000
O  0.500  0.500  0.500

=====

ScTcO3: optimized geometry, PBE-GGA.

Calculated values
* DFT total energy: -7.843 eV/atom
* density of states at the Fermi level: 0.64 states/eV per atom
* formation energy (no corrections): -1.528 eV per atom

a b c (Å): 3.882 3.882 3.882
angles (deg): 90.00 90.00 90.00
Atoms (fractional coordinates):
Sc  0.000  0.000  0.000
Tc  0.500  0.500  0.500
O  0.000  0.500  0.500
O  0.500  0.000  0.500
O  0.500  0.500  0.000

=====

What did we get for magnetization? Answer: 0.00, 0.00, 2.01, 0.00, 5.58, 1.71 Bohr magnetons per cell, in the order shown.